# 1
# RuC3 (PBE, relaxed)
# - calculated volume (Å³/atom) = 8.93
# - ρ (Mg/m³) = 6.4
# - electronic total energy (eV per atom) = -8.331
# - polymorph energy (0 for the lowest one) (meV per atom) = 0
data_RuC3
_chemical_formula_sum 'Ru4 C12'
_cell_length_a 5.700
_cell_length_b 6.334
_cell_length_c 3.960
_cell_angle_alpha 90.00
_cell_angle_beta 90.00
_cell_angle_gamma 90.00
_symmetry_space_group_name_H-M 'P n m a'
_symmetry_Int_Tables_number 62
loop_
_symmetry_equiv_pos_as_xyz
'x,y,z'
'-x,-y,-z'
'-x+1/2,-y,z+1/2'
'x+1/2,y,-z+1/2'
'x+1/2,-y+1/2,-z+1/2'
'-x+1/2,y+1/2,z+1/2'
'-x,y+1/2,-z'
'x,-y+1/2,z'
loop_
_atom_site_label
_atom_site_fract_x
_atom_site_fract_y
_atom_site_fract_z
_atom_site_occupancy
Ru1 0.201 0.250 0.215 1
C1 0.093 0.572 0.050 1
C2 0.102 0.750 0.294 1


# 2
# Ac3Tl7Ag2 (PBE, relaxed)
# - calculated volume (Å³/atom) = 30.37
# - ρ (Mg/m³) = 10.6
# - electronic total energy (eV per atom) = -3.101
data_Ac3Tl7Ag2
_chemical_formula_sum 'Ac3 Tl7 Ag2'
_cell_length_a 4.916
_cell_length_b 4.859
_cell_length_c 15.452
_cell_angle_alpha 90.00
_cell_angle_beta 99.13
_cell_angle_gamma 90.00
_symmetry_space_group_name_H-M 'P 1 2/m 1'
_symmetry_Int_Tables_number 10
loop_
_symmetry_equiv_pos_as_xyz
'x,y,z'
'-x,-y,-z'
'-x,y,-z'
'x,-y,z'
loop_
_atom_site_label
_atom_site_fract_x
_atom_site_fract_y
_atom_site_fract_z
_atom_site_occupancy
Ac1 0.000 0.000 0.000 1
Ac2 0.319 0.500 0.637 1
Tl1 0.082 0.500 0.166 1
Tl2 0.224 0.000 0.448 1
Tl3 0.417 0.000 0.835 1
Tl4 0.500 0.500 0.000 1
Ag1 0.135 0.000 0.269 1


# 3
# PrMg3Ga3 (PBE, relaxed)
# - calculated volume (Å³/atom) = 27.76
# - ρ (Mg/m³) = 3.6
# - electronic total energy (eV per atom) = -2.392
# - polymorph energy (0 for the lowest one) (meV per atom) = 536
data_PrMg3Ga3
_chemical_formula_sum 'Pr2 Mg6 Ga6'
_cell_length_a 7.298
_cell_length_b 7.298
_cell_length_c 7.298
_cell_angle_alpha 90.00
_cell_angle_beta 90.00
_cell_angle_gamma 90.00
_symmetry_space_group_name_H-M 'P m -3 n'
_symmetry_Int_Tables_number 223
_symmetry_space_group_name_Hall '-P 4n 2 3'
loop_
_atom_site_label
_atom_site_fract_x
_atom_site_fract_y
_atom_site_fract_z
_atom_site_occupancy
Pr1 0.000 0.000 0.000 1
Mg1 0.000 0.250 0.500 1
Ga1 0.000 0.500 0.250 1


# 4
# Pr3In2Hg6 (PBE, relaxed)
# - calculated volume (Å³/atom) = 28.59
# - ρ (Mg/m³) = 9.8
# - electronic total energy (eV per atom) = -2.210
data_Pr3In2Hg6
_chemical_formula_sum 'Pr6 In4 Hg12'
_cell_length_a 4.366
_cell_length_b 4.366
_cell_length_c 32.991
_cell_angle_alpha 90.00
_cell_angle_beta 90.00
_cell_angle_gamma 90.00
_symmetry_space_group_name_H-M 'I 4/m m m'
_symmetry_Int_Tables_number 139
_symmetry_space_group_name_Hall '-I 4 2'
loop_
_atom_site_label
_atom_site_fract_x
_atom_site_fract_y
_atom_site_fract_z
_atom_site_occupancy
Pr1 0.000 0.000 0.000 1
Pr2 0.000 0.000 0.175 1
In1 0.000 0.000 0.362 1
Hg1 0.000 0.000 0.271 1
Hg2 0.000 0.500 0.073 1


# 5
# Ba2SnAu3 (PBE, relaxed)
# - calculated volume (Å³/atom) = 30.14
# - ρ (Mg/m³) = 9.0
# - electronic total energy (eV per atom) = -3.636
# - polymorph energy (0 for the lowest one) (meV per atom) = 0
data_Ba2SnAu3
_chemical_formula_sum 'Ba2 Sn1 Au3'
_cell_length_a 4.243
_cell_length_b 4.978
_cell_length_c 8.562
_cell_angle_alpha 90.00
_cell_angle_beta 90.00
_cell_angle_gamma 90.00
_symmetry_space_group_name_H-M 'P m m 2'
_symmetry_Int_Tables_number 25
loop_
_symmetry_equiv_pos_as_xyz
'x,y,z'
'-x,-y,z'
'-x,y,z'
'x,-y,z'
loop_
_atom_site_label
_atom_site_fract_x
_atom_site_fract_y
_atom_site_fract_z
_atom_site_occupancy
Ba1 0.000 0.000 0.000 1
Ba2 0.000 0.500 0.464 1
Sn1 0.500 0.500 0.804 1
Au1 0.500 0.000 0.321 1
Au2 0.500 0.000 0.660 1
Au3 0.500 0.500 0.139 1